Density functional theory data (PBE) for a geometry-optimized LiTl2PtPb structure.

Structure (extended XYZ):
```
5
Lattice="5.302 0.000 0.000 0.000 5.302 0.000 0.000 0.000 4.855" Properties=species:S:1:pos:R:3 pbc="T T T"
Li 0.000 0.000 0.000
Tl 0.000 2.651 2.427
Tl 2.651 0.000 2.427
Pt 0.000 0.000 2.427
Pb 2.651 2.651 0.000
```

Properties
* space-group type: P4/mmm
* DFT total energy: -3.3190 eV per atom

Density functional theory data (PBE) for a geometry-optimized Li3PuPb4 structure.

Structure (extended XYZ):
```
16
Lattice="10.343 0.000 0.000 0.000 7.299 0.000 0.000 0.000 5.176" Properties=species:S:1:pos:R:3 pbc="T T T"
Li 0.000 0.000 0.000
Li 2.586 0.000 2.580
Li 2.586 3.649 2.584
Li 5.172 0.000 0.000
Li 7.758 0.000 2.595
Li 7.758 3.649 2.592
Pu 0.000 3.649 0.000
Pu 5.172 3.649 0.000
Pb 0.000 1.660 2.588
Pb 0.000 5.639 2.588
Pb 2.586 1.660 5.170
Pb 2.586 5.639 5.170
Pb 5.172 1.660 2.588
Pb 5.172 5.639 2.588
Pb 7.758 1.660 0.006
Pb 7.758 5.639 0.006
```

Properties
* space-group type: Pmma
* DFT total energy: -4.5950 eV per atom

Density functional theory data (PBE) for a geometry-optimized Li5PuPb6 structure.

Structure (extended XYZ):
```
12
Lattice="4.419 -7.740 0.000 4.419 7.740 0.000 -2.910 0.000 4.183" Properties=species:S:1:pos:R:3 pbc="T T T"
Li 0.000 0.000 0.000
Li 2.964 5.059 2.091
Li 4.419 2.577 0.000
Li 4.419 -2.577 0.000
Li 2.964 -5.059 2.091
Pu 2.964 0.000 2.091
Pb 1.403 2.646 0.987
Pb -0.120 0.000 3.045
Pb 1.403 -2.646 0.987
Pb 4.525 2.646 3.196
Pb 6.048 0.000 1.137
Pb 4.525 -2.646 3.196
```

Properties
* space-group type: C2/m
* DFT total energy: -4.0876 eV per atom

Density functional theory data (PBE) for a geometry-optimized LiPuPb2 structure.

Structure (extended XYZ):
```
4
Lattice="1.715 0.990 10.324 -1.715 0.990 10.324 0.000 -1.980 10.324" Properties=species:S:1:pos:R:3 pbc="T T T"
Li 0.000 0.000 0.000
Pu 0.000 0.000 25.826
Pb 0.000 0.000 12.683
Pb 0.000 0.000 18.311
```

Properties
* space-group type: R3m
* DFT total energy: -6.0304 eV per atom

Density functional theory data (PBE) for a geometry-optimized LiPu5Pb6 structure.

Structure (extended XYZ):
```
12
Lattice="2.460 -7.401 0.000 2.460 7.401 0.000 0.000 0.000 9.118" Properties=species:S:1:pos:R:3 pbc="T T T"
Li 0.000 0.000 0.000
Pu 0.000 0.000 4.559
Pu 2.460 2.518 0.000
Pu 2.460 2.521 4.559
Pu 2.460 -2.518 0.000
Pu 2.460 -2.521 4.559
Pb 2.460 5.004 2.242
Pb 2.460 5.004 6.876
Pb 2.460 0.000 2.184
Pb 2.460 0.000 6.934
Pb 2.460 -5.004 2.242
Pb 2.460 -5.004 6.876
```

Properties
* space-group type: Cmmm
* DFT total energy: -8.1110 eV per atom

Density functional theory data (PBE) for a geometry-optimized LiPuPb2 structure.

Structure (extended XYZ):
```
4
Lattice="5.581 0.000 0.000 0.000 5.581 0.000 0.000 0.000 3.448" Properties=species:S:1:pos:R:3 pbc="T T T"
Li 0.000 0.000 0.000
Pu 2.791 2.791 0.000
Pb 0.000 2.791 1.724
Pb 2.791 0.000 1.724
```

Properties
* space-group type: P4/mmm
* DFT total energy: -6.0756 eV per atom

Density functional theory data (PBE) for a geometry-optimized Li4PuPb5 structure.

Structure (extended XYZ):
```
10
Lattice="3.466 0.000 0.000 0.000 3.466 0.000 0.000 0.000 19.689" Properties=species:S:1:pos:R:3 pbc="T T T"
Li 0.000 0.000 1.829
Li 0.000 0.000 5.641
Li 0.000 0.000 14.048
Li 0.000 0.000 17.859
Pu 0.000 0.000 9.844
Pb 1.733 1.733 0.000
Pb 1.733 1.733 3.740
Pb 1.733 1.733 7.458
Pb 1.733 1.733 12.231
Pb 1.733 1.733 15.948
```

Properties
* space-group type: P4/mmm
* DFT total energy: -4.2901 eV per atom

Density functional theory data (PBE) for a geometry-optimized Li2PuPb3 structure.

Structure (extended XYZ):
```
6
Lattice="3.498 0.000 0.000 0.000 3.498 0.000 0.000 0.000 11.948" Properties=species:S:1:pos:R:3 pbc="T T T"
Li 0.000 0.000 1.850
Li 0.000 0.000 10.097
Pu 0.000 0.000 5.974
Pb 1.749 1.749 0.000
Pb 1.749 1.749 3.652
Pb 1.749 1.749 8.296
```

Properties
* space-group type: P4/mmm
* DFT total energy: -5.1093 eV per atom

Density functional theory data (PBE) for a geometry-optimized LiPuPb2 structure.

Structure (extended XYZ):
```
4
Lattice="3.585 0.000 0.000 0.000 3.585 0.000 0.000 0.000 7.857" Properties=species:S:1:pos:R:3 pbc="T T T"
Li 0.000 0.000 0.000
Pu 0.000 0.000 3.929
Pb 1.793 1.793 1.694
Pb 1.793 1.793 6.163
```

Properties
* space-group type: P4/mmm
* DFT total energy: -6.1090 eV per atom

Density functional theory data (PBE) for a geometry-optimized LiPu2Pb6 structure.

Structure (extended XYZ):
```
9
Lattice="8.009 -3.838 0.000 8.009 3.838 0.000 -1.470 0.000 4.638" Properties=species:S:1:pos:R:3 pbc="T T T"
Li 0.000 0.000 0.000
Pu 5.037 0.000 1.608
Pu 9.512 0.000 3.030
Pb 4.161 2.169 3.882
Pb 7.275 2.256 2.319
Pb 10.388 2.169 0.756
Pb 4.161 -2.169 3.882
Pb 7.275 -2.256 2.319
Pb 10.388 -2.169 0.756
```

Properties
* space-group type: C2/m
* DFT total energy: -5.8037 eV per atom

Density functional theory data (PBE) for a geometry-optimized LiPuRhPb structure.

Structure (extended XYZ):
```
4
Lattice="0.000 3.492 3.492 3.492 0.000 3.492 3.492 3.492 0.000" Properties=species:S:1:pos:R:3 pbc="T T T"
Li 0.000 0.000 0.000
Pu 3.492 3.492 3.492
Rh 5.238 5.238 5.238
Pb 1.746 1.746 1.746
```

Properties
* space-group type: F-43m
* DFT total energy: -6.8719 eV per atom

Density functional theory data (PBE) for a geometry-optimized LiPuRuPb structure.

Structure (extended XYZ):
```
4
Lattice="0.000 3.397 3.397 3.397 0.000 3.397 3.397 3.397 0.000" Properties=species:S:1:pos:R:3 pbc="T T T"
Li 0.000 0.000 0.000
Pu 5.095 5.095 5.095
Ru 3.397 3.397 3.397
Pb 1.698 1.698 1.698
```

Properties
* space-group type: F-43m
* DFT total energy: -7.3308 eV per atom

Density functional theory data (PBE) for a geometry-optimized Li2PuPbS4 structure.

Structure (extended XYZ):
```
8
Lattice="6.602 0.000 0.000 0.000 3.976 0.000 -2.631 0.000 6.612" Properties=species:S:1:pos:R:3 pbc="T T T"
Li 0.000 0.000 0.000
Li -1.316 1.988 3.306
Pu 1.985 0.000 3.306
Pb 3.301 1.988 0.000
S -0.267 0.000 4.716
S 0.939 1.988 1.731
S 3.032 1.988 4.881
S 4.237 0.000 1.897
```

Properties
* space-group type: P2/m
* DFT total energy: -5.9256 eV per atom
* formation energy from raw total energies: -1128 meV/atom

Density functional theory data (PBE) for a geometry-optimized LiPuPb2S4 structure.

Structure (extended XYZ):
```
8
Lattice="6.919 0.000 0.000 0.000 4.096 0.000 -2.306 0.000 6.787" Properties=species:S:1:pos:R:3 pbc="T T T"
Li 0.000 0.000 0.000
Pu 3.460 2.048 0.000
Pb -1.153 2.048 3.393
Pb 2.307 0.000 3.393
S 1.171 2.048 1.538
S -0.001 0.000 5.290
S 4.614 0.000 1.497
S 3.442 2.048 5.249
```

Properties
* space-group type: P2/m
* DFT total energy: -6.0082 eV per atom
* formation energy from raw total energies: -987 meV/atom

Density functional theory data (PBE) for a geometry-optimized Li2PuPb3Se6 structure.

Structure (extended XYZ):
```
12
Lattice="3.623 -6.272 0.000 3.623 6.272 0.000 -2.362 0.000 6.991" Properties=species:S:1:pos:R:3 pbc="T T T"
Li 3.623 4.087 0.000
Li 3.623 -4.087 0.000
Pu 3.623 0.000 0.000
Pb -1.181 0.000 3.495
Pb 2.442 2.067 3.495
Pb 2.442 -2.067 3.495
Se 0.052 2.037 5.449
Se 1.275 0.000 1.639
Se 0.052 -2.037 5.449
Se 4.832 2.037 1.542
Se 3.610 0.000 5.352
Se 4.832 -2.037 1.542
```

Properties
* space-group type: C2/m
* DFT total energy: -5.0660 eV per atom
* formation energy from raw total energies: -883 meV/atom

Density functional theory data (PBE) for a geometry-optimized LiPu2PbSe4 structure.

Structure (extended XYZ):
```
8
Lattice="7.336 0.000 0.000 0.000 4.237 0.000 -2.482 0.000 6.930" Properties=species:S:1:pos:R:3 pbc="T T T"
Li 0.000 0.000 0.000
Pu 2.427 0.000 3.465
Pu 3.668 2.119 0.000
Pb -1.241 2.119 3.465
Se 1.278 2.119 1.714
Se 0.035 0.000 5.294
Se 4.819 0.000 1.636
Se 3.576 2.119 5.216
```

Properties
* space-group type: P2/m
* DFT total energy: -7.1885 eV per atom
* formation energy from raw total energies: -1160 meV/atom

Density functional theory data (PBE) for a geometry-optimized LiPuPbSe3 structure.

Structure (extended XYZ):
```
12
Lattice="8.648 0.000 0.000 0.000 4.186 0.000 -1.895 0.000 8.794" Properties=species:S:1:pos:R:3 pbc="T T T"
Li 0.572 1.046 0.725
Li 6.181 3.139 8.069
Pu 2.217 3.139 2.948
Pu 4.536 1.046 5.846
Pb 0.233 1.046 6.452
Pb 6.521 3.139 2.342
Se 0.240 1.046 3.246
Se 1.861 3.139 0.068
Se 2.526 3.139 5.846
Se 4.227 1.046 2.948
Se 4.892 1.046 8.726
Se 6.514 3.139 5.548
```

Properties
* space-group type: P2_1/m
* DFT total energy: -6.1235 eV per atom
* formation energy from raw total energies: -1056 meV/atom

Density functional theory data (PBE) for a geometry-optimized LiPuPb2Se4 structure.

Structure (extended XYZ):
```
8
Lattice="7.228 0.000 0.000 0.000 4.256 0.000 -2.404 0.000 7.038" Properties=species:S:1:pos:R:3 pbc="T T T"
Li 0.000 0.000 0.000
Pu 3.614 2.128 0.000
Pb -1.202 2.128 3.519
Pb 2.412 0.000 3.519
Se 1.206 2.128 1.604
Se -0.013 0.000 5.454
Se 4.836 0.000 1.584
Se 3.618 2.128 5.434
```

Properties
* space-group type: P2/m
* DFT total energy: -5.6316 eV per atom
* formation energy from raw total energies: -932 meV/atom

Density functional theory data (PBE) for a geometry-optimized LiPuSnPb structure.

Structure (extended XYZ):
```
4
Lattice="0.000 3.712 3.712 3.712 0.000 3.712 3.712 3.712 0.000" Properties=species:S:1:pos:R:3 pbc="T T T"
Li 0.000 0.000 0.000
Pu 3.712 3.712 3.712
Sn 5.568 5.568 5.568
Pb 1.856 1.856 1.856
```

Properties
* space-group type: F-43m
* DFT total energy: -6.2012 eV per atom

Density functional theory data (PBE) for a geometry-optimized LiPuSnPb structure.

Structure (extended XYZ):
```
4
Lattice="4.471 0.000 0.000 0.000 4.694 0.000 0.000 0.000 4.816" Properties=species:S:1:pos:R:3 pbc="T T T"
Li 0.000 0.000 0.000
Pu 0.000 2.347 2.408
Sn 2.236 0.000 2.408
Pb 2.236 2.347 0.000
```

Properties
* space-group type: Pmmm
* DFT total energy: -6.2496 eV per atom

Density functional theory data (PBE) for a geometry-optimized LiPuTe4Pb2 structure.

Structure (extended XYZ):
```
8
Lattice="7.742 0.000 0.000 0.000 4.520 0.000 -2.571 0.000 7.452" Properties=species:S:1:pos:R:3 pbc="T T T"
Li 0.000 0.000 0.000
Pu 3.871 2.260 0.000
Te 1.275 2.260 1.720
Te -0.020 0.000 5.727
Te 5.191 0.000 1.725
Te 3.896 2.260 5.732
Pb -1.285 2.260 3.726
Pb 2.585 0.000 3.726
```

Properties
* space-group type: P2/m
* DFT total energy: -5.1942 eV per atom
* formation energy from raw total energies: -666 meV/atom

Density functional theory data (PBE) for a geometry-optimized Li2PuTe4Pb structure.

Structure (extended XYZ):
```
8
Lattice="7.458 0.000 0.000 0.000 4.414 0.000 -2.756 0.000 7.247" Properties=species:S:1:pos:R:3 pbc="T T T"
Li 0.000 0.000 0.000
Li -1.378 2.207 3.624
Pu 2.351 0.000 3.624
Te -0.256 0.000 5.259
Te 1.089 2.207 1.849
Te 3.613 2.207 5.398
Te 4.958 0.000 1.988
Pb 3.729 2.207 0.000
```

Properties
* space-group type: P2/m
* DFT total energy: -5.0565 eV per atom
* formation energy from raw total energies: -752 meV/atom

Density functional theory data (PBE) for a geometry-optimized LiPuTlPb structure.

Structure (extended XYZ):
```
4
Lattice="3.731 0.000 0.000 0.000 5.327 0.000 0.000 0.000 5.346" Properties=species:S:1:pos:R:3 pbc="T T T"
Li 0.000 0.000 0.000
Pu 0.000 2.663 2.673
Tl 1.865 2.663 0.000
Pb 1.865 0.000 2.673
```

Properties
* space-group type: Pmmm
* DFT total energy: -5.7099 eV per atom

Density functional theory data (PBE) for a geometry-optimized LiPuTlPb structure.

Structure (extended XYZ):
```
4
Lattice="0.000 3.773 3.773 3.773 0.000 3.773 3.773 3.773 0.000" Properties=species:S:1:pos:R:3 pbc="T T T"
Li 0.000 0.000 0.000
Pu 1.887 1.887 1.887
Tl 5.660 5.660 5.660
Pb 3.773 3.773 3.773
```

Properties
* space-group type: F-43m
* DFT total energy: -5.5038 eV per atom

Density functional theory data (PBE) for a geometry-optimized RbLiPb2 structure.

Structure (extended XYZ):
```
4
Lattice="3.790 0.000 0.000 0.000 3.790 0.000 0.000 0.000 8.622" Properties=species:S:1:pos:R:3 pbc="T T T"
Rb 0.000 0.000 0.000
Li 0.000 0.000 4.311
Pb 1.895 1.895 2.757
Pb 1.895 1.895 5.864
```

Properties
* space-group type: P4/mmm
* DFT total energy: -2.7600 eV per atom

Number 1: Fermi-level density of states 2.57 states/eV per cell. Number 2: Fermi-level density of states 25.79 states/eV per cell. Number 3: Fermi-level density of states 14.31 states/eV per cell. Number 4: Fermi-level density of states 8.60 states/eV per cell. Number 5: Fermi-level density of states 49.43 states/eV per cell. Number 6: Fermi-level density of states 10.24 states/eV per cell. Number 7: Fermi-level density of states 11.26 states/eV per cell. Number 8: Fermi-level density of states 8.56 states/eV per cell. Number 9: Fermi-level density of states 8.33 states/eV per cell. Number 10: Fermi-level density of states 29.43 states/eV per cell. Number 11: Fermi-level density of states 10.32 states/eV per cell. Number 12: Fermi-level density of states 10.19 states/eV per cell. Number 13: Fermi-level density of states 9.27 states/eV per cell. Number 14: Fermi-level density of states 13.28 states/eV per cell. Number 15: Fermi-level density of states 9.45 states/eV per cell. Number 16: Fermi-level density of states 27.67 states/eV per cell. Number 17: Fermi-level density of states 22.70 states/eV per cell. Number 18: Fermi-level density of states 14.68 states/eV per cell. Number 19: Fermi-level density of states 14.59 states/eV per cell. Number 20: Fermi-level density of states 12.52 states/eV per cell. Number 21: Fermi-level density of states 16.37 states/eV per cell. Number 22: Fermi-level density of states 13.28 states/eV per cell. Number 23: Fermi-level density of states 10.03 states/eV per cell. Number 24: Fermi-level density of states 13.92 states/eV per cell. Number 25: Fermi-level density of states 1.45 states/eV per cell.